# RbSnTeO6 (PBE-GGA, relaxed)
data_RbSnTeO6
_space_group_name_H-M_alt 'P 3 1 2'
_space_group_IT_number 149
_space_group_name_Hall 'P 3 2'
_cell_length_a 5.4420
_cell_length_b 5.4420
_cell_length_c 6.3737
_cell_angle_alpha 90.00
_cell_angle_beta 90.00
_cell_angle_gamma 120.00
loop_
_atom_site_label
_atom_site_type_symbol
_atom_site_fract_x
_atom_site_fract_y
_atom_site_fract_z
Rb1 Rb 0.0000 0.0000 0.0000
Sn1 Sn 0.3333 0.6667 0.5000
Te1 Te 0.6667 0.3333 0.5000
O1 O 0.3946 0.0198 0.6761
# * spin magnetization: 0.12 μB/atom
# * energy relative to the elements, uncorrected: -1.212 eV/atom



# Rb3ThSn2O9 (PBE-GGA, relaxed)
data_Rb3ThSn2O9
_space_group_name_H-M_alt 'P -3 m 1'
_space_group_IT_number 164
_space_group_name_Hall '-P 3 2"'
_cell_length_a 6.1292
_cell_length_b 6.1292
_cell_length_c 7.5104
_cell_angle_alpha 90.00
_cell_angle_beta 90.00
_cell_angle_gamma 120.00
loop_
_atom_site_label
_atom_site_type_symbol
_atom_site_fract_x
_atom_site_fract_y
_atom_site_fract_z
Rb1 Rb 0.0000 0.0000 0.0000
Rb2 Rb 0.3333 0.6667 0.6704
Th1 Th 0.0000 0.0000 0.5000
Sn1 Sn 0.3333 0.6667 0.1581
O1 O 0.0000 0.5000 0.0000
O2 O 0.1744 0.3488 0.3202
# * spin magnetization: 0.21 μB/atom
# * energy relative to the elements, uncorrected: -1.712 eV/atom



# RbTlSnO3 (PBE-GGA, relaxed)
data_RbTlSnO3
_space_group_name_H-M_alt 'C 1 2/c 1'
_space_group_IT_number 15
_space_group_name_Hall '-C 2yc'
_cell_length_a 6.8620
_cell_length_b 13.2483
_cell_length_c 5.7108
_cell_angle_alpha 90.00
_cell_angle_beta 100.91
_cell_angle_gamma 90.00
loop_
_atom_site_label
_atom_site_type_symbol
_atom_site_fract_x
_atom_site_fract_y
_atom_site_fract_z
Rb1 Rb 0.0000 0.0926 0.2500
Tl1 Tl 0.0000 0.2795 0.7500
Sn1 Sn 0.0000 0.4469 0.2500
O1 O 0.0000 0.2983 0.2500
O2 O 0.1816 0.4603 0.9832
# * spin magnetization: 0.00 μB/atom
# * energy relative to the elements, uncorrected: -1.305 eV/atom



# Rb2TlSnO5 (PBE-GGA, relaxed)
data_Rb2TlSnO5
_space_group_name_H-M_alt 'C m c 21'
_space_group_IT_number 36
_space_group_name_Hall 'C 2c -2'
_cell_length_a 3.3246
_cell_length_b 14.1472
_cell_length_c 14.3404
_cell_angle_alpha 90.00
_cell_angle_beta 90.00
_cell_angle_gamma 90.00
loop_
_atom_site_label
_atom_site_type_symbol
_atom_site_fract_x
_atom_site_fract_y
_atom_site_fract_z
Rb1 Rb 0.0000 0.0737 0.0000
Rb2 Rb 0.0000 0.1728 0.6140
Tl1 Tl 0.0000 0.4716 0.7724
Sn1 Sn 0.0000 0.2230 0.3557
O1 O 0.0000 0.0701 0.3661
O2 O 0.0000 0.2684 0.9506
O3 O 0.0000 0.3000 0.7617
O4 O 0.0000 0.3696 0.3380
O5 O 0.0000 0.4871 0.1340
# * spin magnetization: 0.11 μB/atom
# * energy relative to the elements, uncorrected: -1.091 eV/atom